A | Pr2ErLu: relaxed, PBE.

abc: 3.6421 3.6421 9.9282
angles: 90.00 90.00 90.00
Closest atoms and distances in Å follow each position.
Space group P4/mmm (No. 123)
Symmetry-distinct sites (fractional):
Pr 0.0000 0.0000 0.2482  4 Lu 3.56, 4 Er 3.59, 4 Pr 3.64
Er 0.5000 0.5000 0.5000  8 Pr 3.59, 4 Er 3.64
Lu 0.5000 0.5000 0.0000  8 Pr 3.56, 4 Lu 3.64

The value obtained for the volume is 32.92 Å³/atom.



B | Pr2ErLu: relaxed, PBE.

abc: 8.1053 8.1053 8.1053
angles: 90.00 90.00 90.00
Closest atoms and distances in Å follow each position.
Space group Fm-3m (No. 225)
Symmetry-distinct sites (fractional):
Pr 0.2500 0.2500 0.2500  4 Er 3.51, 4 Lu 3.51
Er 0.0000 0.0000 0.0000  8 Pr 3.51
Lu 0.0000 0.0000 0.5000  8 Pr 3.51

The value obtained for the volume is 33.28 Å³/atom.



Most stable structure among those shown: A. Next: +62 meV per atom.